! Ce3Sm2Rh2 | the Alexandria database | PBE-GGA | relaxed; values from VASP
&SYSTEM
  ibrav = 0, nat = 7, ntyp = 3
/
ATOMIC_SPECIES
Sm 150.36 Sm.upf
Ce 140.12 Ce.upf
Rh 102.91 Rh.upf
CELL_PARAMETERS angstrom
-3.4778 1.2082 -1.7684
-4.3139 -4.2124 0.8891
-4.6811 2.6253 6.2829
ATOMIC_POSITIONS crystal
Sm 0.8538 0.4957 0.7966
Sm 0.1462 0.5043 0.2034
Ce 0.5000 0.0000 0.0000
Ce 0.6595 0.1412 0.5397
Ce 0.3405 0.8588 0.4603
Rh 0.1537 0.8706 0.8220
Rh 0.8463 0.1294 0.1780
! Space group   No. 12
! Total DFT energy (no corrections)   -45.02 eV per cell
! DOS(E_F)   1.788 states/eV/atom